# Ba3HfFe2O8

Ba3HfFe2O8 after structural relaxation (GGA+U, Alexandria).

Lattice parameters (Å, degrees): 5.9294 5.9294 7.5629 90.00 90.00 120.00
Fractional coordinates of all 14 atoms:
Ba (0.0000, 0.0000, 0.0000)
Ba (0.3333, 0.6667, 0.6601)
Ba (0.6667, 0.3333, 0.3399)
Hf (0.0000, 0.0000, 0.5000)
Fe (0.3333, 0.6667, 0.2243)
Fe (0.6667, 0.3333, 0.7757)
O (0.1632, 0.3263, 0.3340)
O (0.1632, 0.8368, 0.3340)
O (0.3263, 0.1632, 0.6660)
O (0.3333, 0.6667, 0.9856)
O (0.6667, 0.3333, 0.0144)
O (0.6737, 0.8368, 0.3340)
O (0.8368, 0.1632, 0.6660)
O (0.8368, 0.6737, 0.6660)

DFT total energy = -7.241 eV/atom
Space group = No. 164